Compound: Fe3Ni2
Source: Alexandria via LeMat-Bulk
Functional: GGA-PBE
Structure: optimized geometry

a = 7.4411 Å, b = 6.5052 Å, c = 4.8005 Å
α = 80.79°, β = 59.65°, γ = 39.55°
With the nearest neighbours (Å) after each atom.
Element x y z (fractional)
Ni (0.1883, 0.9103, 0.3547)  9 Fe 2.42-2.70, 2 Ni 2.57
Ni (0.8953, 0.7033, 0.0617)  9 Fe 2.42-2.70, 2 Ni 2.57
Ni (0.5467, 0.3547, 0.9103)  9 Fe 2.42-2.70, 2 Ni 2.57
Fe (0.3243, 0.1757, 0.1757)  6 Ni 2.42-2.56, 4 Fe 2.50-2.66
Fe (0.7292, 0.4760, 0.3333)  6 Ni 2.45-2.70, 5 Fe 2.46-2.66
Ni (0.3397, 0.0617, 0.7033)  9 Fe 2.42-2.70, 2 Ni 2.57
Fe (0.0743, 0.9257, 0.9257)  6 Ni 2.42-2.56, 4 Fe 2.50-2.66
Fe (0.9167, 0.7886, 0.5208)  6 Ni 2.45-2.70, 5 Fe 2.46-2.66
Fe (0.7740, 0.5208, 0.7886)  6 Ni 2.45-2.70, 5 Fe 2.46-2.66
Fe (0.4614, 0.3333, 0.4760)  6 Ni 2.45-2.70, 5 Fe 2.46-2.66

## Properties
* M_tot: 9.21 μB per formula unit
* energy of formation from the pure elements: 0.313 eV per formula unit

---

Compound: Fe3Ni2
Source: Alexandria via LeMat-Bulk
Functional: GGA-PBE
Structure: optimized geometry

a = 2.5154 Å, b = 3.5487 Å, c = 6.7645 Å
α = 105.21°, β = 100.72°, γ = 90.00°
With the nearest neighbours (Å) after each atom.
Element x y z (fractional)
Fe (0.0000, 0.0000, 0.0000)  4 Fe 2.52-2.54, 8 Ni 2.52
Fe (0.1983, 0.1983, 0.3967)  7 Fe 2.52-2.55, 5 Ni 2.52-2.59
Fe (0.8017, 0.8017, 0.6033)  7 Fe 2.52-2.55, 5 Ni 2.52-2.59
Ni (0.5994, 0.5994, 0.1987)  3 Ni 2.52-2.55, 9 Fe 2.52-2.59
Ni (0.4006, 0.4006, 0.8013)  3 Ni 2.52-2.55, 9 Fe 2.52-2.59

## Properties
* M_tot: 9.07 μB per formula unit
* energy of formation from the pure elements: -0.056 eV per formula unit

---

Compound: FeNi6
Source: Alexandria via LeMat-Bulk
Functional: GGA-PBE
Structure: optimized geometry

a = 3.7881 Å, b = 7.3568 Å, c = 11.7118 Å
α = 90.00°, β = 90.00°, γ = 90.00°
With the nearest neighbours (Å) after each atom.
Element x y z (fractional)
Ni (0.2499, 0.4516, 0.4540)  8 Ni 2.29-2.47
Ni (0.7509, 0.7500, 0.7014)  8 Ni 2.35-2.60, 2 Fe 2.48
Ni (0.7504, 0.4896, 0.8204)  8 Ni 2.37-2.60, 1 Fe 2.56
Ni (0.7499, 0.9516, 0.0460)  8 Ni 2.29-2.47
Ni (0.7499, 0.5484, 0.0460)  8 Ni 2.29-2.47
Fe (0.7492, 0.2500, 0.1623)  11 Ni 2.41-2.70
Fe (0.2508, 0.7500, 0.8377)  11 Ni 2.41-2.70
Ni (0.2496, 0.5104, 0.1796)  8 Ni 2.37-2.60, 1 Fe 2.56
Ni (0.7498, 0.2500, 0.4561)  10 Ni 2.37-2.65, 1 Fe 2.41
Ni (0.2509, 0.2500, 0.7986)  8 Ni 2.35-2.60, 2 Fe 2.48
Ni (0.2491, 0.2500, 0.2986)  8 Ni 2.35-2.60, 2 Fe 2.48
Ni (0.2502, 0.7500, 0.5439)  10 Ni 2.37-2.65, 1 Fe 2.41
Ni (0.2499, 0.0484, 0.4540)  8 Ni 2.29-2.47
Ni (0.7496, 0.4896, 0.3204)  8 Ni 2.37-2.60, 1 Fe 2.56
Ni (0.2504, 0.9896, 0.6796)  8 Ni 2.37-2.60, 1 Fe 2.56
Ni (0.2501, 0.0484, 0.9540)  8 Ni 2.29-2.47
Ni (0.7496, 0.0104, 0.3204)  8 Ni 2.37-2.60, 1 Fe 2.56
Ni (0.7502, 0.2500, 0.9561)  10 Ni 2.37-2.65, 1 Fe 2.41
Fe (0.7508, 0.2500, 0.6623)  11 Ni 2.41-2.70
Ni (0.2498, 0.7500, 0.0439)  10 Ni 2.37-2.65, 1 Fe 2.41
Ni (0.7491, 0.7500, 0.2014)  8 Ni 2.35-2.60, 2 Fe 2.48
Ni (0.2496, 0.9896, 0.1796)  8 Ni 2.37-2.60, 1 Fe 2.56
Ni (0.7501, 0.5484, 0.5460)  8 Ni 2.29-2.47
Fe (0.2492, 0.7500, 0.3377)  11 Ni 2.41-2.70
Ni (0.2504, 0.5104, 0.6796)  8 Ni 2.37-2.60, 1 Fe 2.56
Ni (0.7501, 0.9516, 0.5460)  8 Ni 2.29-2.47
Ni (0.7504, 0.0104, 0.8204)  8 Ni 2.37-2.60, 1 Fe 2.56
Ni (0.2501, 0.4516, 0.9540)  8 Ni 2.29-2.47

## Properties
* M_tot: 6.55 μB per formula unit
* energy of formation from the pure elements: 0.883 eV per formula unit

---

Which calculated total energy belongs to each record? In order, -73.3; -37.0; -169.1 eV/cell.
Which V belongs to each record? In order, 11.60; 11.44; 11.66 A^3/atom.